No. 1
VASP calculation (PBE) on a relaxed Er8ZnIn5 crystal.

Cell: 7.947 7.947 7.947 Å, 109.70 109.01 109.70°
Atoms (fractional coordinates):
Er (0.464, 0.595, 0.212)
Er (0.618, 0.886, 0.877)
Er (0.617, 0.405, 0.869)
Er (0.131, 0.748, 0.536)
Er (0.788, 0.252, 0.383)
Er (0.269, 0.260, 0.382)
Er (0.991, 0.114, 0.731)
Er (0.123, 0.740, 0.009)
In (0.745, 0.626, 0.615)
In (0.500, 0.000, 0.500)
In (0.385, 0.130, 0.010)
In (0.990, 0.374, 0.120)
In (0.880, 0.870, 0.255)
Zn (0.250, 0.500, 0.750)

Final energy = -55.12 eV/cell
DOS at the Fermi energy = 18.44 states/eV/cell
E_form = -25.1 kJ/mol of atoms
Size of the total moment = 0.0000 μB/atom
SG = I-4, No. 82

No. 2
VASP calculation (PBE) on a relaxed NaZrSb2 crystal.

Cell: 3.903 3.903 8.778 Å, 77.16 77.16 60.00°
Atoms (fractional coordinates):
Na (0.500, 0.500, 0.500)
Sb (0.741, 0.741, 0.776)
Sb (0.259, 0.259, 0.224)
Zr (0.000, 0.000, 0.000)

Final energy = -19.81 eV/cell
DOS at the Fermi energy = 1.58 states/eV/cell
Size of the total moment = 0.0000 μB/atom
E_form (uncorrected) = -0.426 eV/atom
SG = R-3m, No. 166
Relative energy among the computed polymorphs = 0 meV per atom

No. 3
VASP calculation (PBE) on a relaxed Al3VBr crystal.

Cell: 5.080 5.080 5.080 Å, 90.00 90.00 90.00°
Atoms (fractional coordinates):
Al (0.000, 0.000, 0.500)
Al (0.000, 0.500, 0.000)
Al (0.500, 0.000, 0.000)
Br (0.000, 0.000, 0.000)
V (0.500, 0.500, 0.500)

Final energy = -15.88 eV/cell
DOS at the Fermi energy = 7.56 states/eV/cell
Size of the total moment = 0.6831 μB/atom
E_form (uncorrected) = 1.228 eV/atom
SG = Pm-3m, No. 221
Relative energy among the computed polymorphs = 655 meV per atom